Entry 1:
DFT (PBE-GGA) results for a relaxed Ga2BiIr crystal.

Lattice parameters (Å, degrees): 4.778 4.778 4.778 60.00 60.00 60.00
Sites, in units of the cell vectors:
Ga 0.000 0.000 0.000
Ga 0.250 0.250 0.250
Bi 0.500 0.500 0.500
Ir 0.750 0.750 0.750

=====

Entry 2:
DFT (PBE-GGA) results for a relaxed GaBi2Ir crystal.

Lattice parameters (Å, degrees): 5.043 5.043 5.043 60.00 60.00 60.00
Sites, in units of the cell vectors:
Ga 0.000 0.000 0.000
Bi 0.500 0.500 0.500
Bi 0.750 0.750 0.750
Ir 0.250 0.250 0.250

=====

Entry 3:
DFT (PBE-GGA) results for a relaxed LiGaBiIr crystal.

Lattice parameters (Å, degrees): 4.654 4.654 4.654 60.00 60.00 60.00
Sites, in units of the cell vectors:
Li 0.000 0.000 0.000
Ga 0.500 0.500 0.500
Bi 0.750 0.750 0.750
Ir 0.250 0.250 0.250

## Properties
**E above lowest polymorph**: 230 meV per atom

=====

Entry 4:
DFT (PBE-GGA) results for a relaxed LiGaBiIr crystal.

Lattice parameters (Å, degrees): 4.629 4.629 4.629 60.00 60.00 60.00
Sites, in units of the cell vectors:
Li 0.000 0.000 0.000
Ga 0.750 0.750 0.750
Bi 0.250 0.250 0.250
Ir 0.500 0.500 0.500

## Properties
**E above lowest polymorph**: 0 meV per atom

=====

Calculated DFT total energy, -18.09 -18.11 -17.53 -18.45 eV for the cell shown (same order as the records).